Material: K4Er3PbO8
Method: DFT, PBE
State: relaxed

Lattice parameters (Å, degrees): 7.451 7.451 7.451 55.72 55.72 55.72
Sites, in units of the cell vectors:
K 0.000 0.000 0.000
K 0.000 0.500 0.500
K 0.500 0.000 0.500
K 0.500 0.500 0.000
Er 0.000 0.000 0.500
Er 0.000 0.500 0.000
Er 0.500 0.000 0.000
Pb 0.500 0.500 0.500
O 0.215 0.738 0.738
O 0.228 0.228 0.228
O 0.262 0.262 0.785
O 0.262 0.785 0.262
O 0.738 0.215 0.738
O 0.738 0.738 0.215
O 0.772 0.772 0.772
O 0.785 0.262 0.262

Summary:
Space group ... R-3m (166)
Raw formation energy ... -2.373 eV/atom
N(E_F) ... 1.923 states/eV per cell
Total DFT energy (no corrections) ... -6.214 eV per atom